# PBE with a Hubbard U Na2LaFeO4, optimized geometry
data_Na2LaFeO4
_chemical_formula_sum 'Na8 La4 Fe4 O16'
_space_group_name_H-M_alt 'C m c m'
_space_group_IT_number 63
_space_group_name_Hall '-C 2c 2'
_cell_length_a 3.475
_cell_length_b 11.630
_cell_length_c 11.071
_cell_angle_alpha 90.00
_cell_angle_beta 90.00
_cell_angle_gamma 90.00
loop_
_atom_site_label
_atom_site_type_symbol
_atom_site_fract_x
_atom_site_fract_y
_atom_site_fract_z
Na1 Na 0.000 0.121 0.035
La1 La 0.000 0.401 0.250
Fe1 Fe 0.000 0.332 0.750
O1 O 0.000 0.080 0.250
O2 O 0.000 0.213 0.637
O3 O 0.000 0.500 0.000
# Electronic total energy in eV/atom: -5.960
# Magnetic moment in μB per cell: 20.01
# V in A^3/atom: 13.98